Computed, not measured: a relaxed MgTiPb3 crystal at the GGA-PBE level of DFT.

## Properties
The final energy is -3.836 eV per atom. Its symmetry is Pm-3m, No. 221. The value obtained for the density of states at the Fermi level is 1.92 states/eV/cell. As for the formation energy from the elements: 1.44 eV per formula unit.

Geometry as CIF:
```
data_MgTiPb3
_space_group_name_H-M_alt 'P 1'
_space_group_IT_number 1
_cell_length_a 5.440
_cell_length_b 5.440
_cell_length_c 5.440
_cell_angle_alpha 90.00
_cell_angle_beta 90.00
_cell_angle_gamma 90.00
loop_
_space_group_symop_operation_xyz
'x,y,z'
loop_
_atom_site_label
_atom_site_type_symbol
_atom_site_fract_x
_atom_site_fract_y
_atom_site_fract_z
Mg1 Mg 0.000 0.000 0.000
Ti1 Ti 0.500 0.500 0.500
Pb1 Pb 0.000 0.500 0.500
Pb2 Pb 0.500 0.000 0.500
Pb3 Pb 0.500 0.500 0.000
```

---

Computed, not measured: a relaxed MgTiPb2 crystal at the GGA-PBE level of DFT.

## Properties
The final energy is -4.072 eV per atom. Its symmetry is R3m, No. 160. The value obtained for the density of states at the Fermi level is 2.36 states/eV/cell. As for the formation energy from the elements: 0.62 eV per formula unit.

Geometry as CIF:
```
data_MgTiPb2
_space_group_name_H-M_alt 'P 1'
_space_group_IT_number 1
_cell_length_a 6.514
_cell_length_b 6.514
_cell_length_c 6.514
_cell_angle_alpha 40.08
_cell_angle_beta 40.08
_cell_angle_gamma 40.08
loop_
_space_group_symop_operation_xyz
'x,y,z'
loop_
_atom_site_label
_atom_site_type_symbol
_atom_site_fract_x
_atom_site_fract_y
_atom_site_fract_z
Mg1 Mg 0.000 0.000 0.000
Ti1 Ti 0.824 0.824 0.824
Pb1 Pb 0.235 0.235 0.235
Pb2 Pb 0.420 0.420 0.420
```

---

Among the records above, which one has the lowest final energy?
MgTiPb2

---

The highest formation energy from the elements belongs to which entry?
MgTiPb3

---

What is the formation energy from the elements in the first record?
1.44 eV per formula unit